Entry 1:
# PBE PuZr4Ru5, optimized geometry
data_PuZr4Ru5
_cell_length_a 3.278
_cell_length_b 3.278
_cell_length_c 16.720
_cell_angle_alpha 90.00
_cell_angle_beta 90.00
_cell_angle_gamma 90.00
_space_group_name_H-M_alt 'P 1'
_space_group_IT_number 1
loop_
_space_group_symop_operation_xyz
'x,y,z'
loop_
_atom_site_label
_atom_site_type_symbol
_atom_site_fract_x
_atom_site_fract_y
_atom_site_fract_z
_atom_site_occupancy
Pu1 Pu 0.000 0.000 0.000 1
Zr1 Zr 0.000 0.000 0.204 1
Zr2 Zr 0.000 0.000 0.401 1
Zr3 Zr 0.000 0.000 0.599 1
Zr4 Zr 0.000 0.000 0.796 1
Ru1 Ru 0.500 0.500 0.110 1
Ru2 Ru 0.500 0.500 0.305 1
Ru3 Ru 0.500 0.500 0.500 1
Ru4 Ru 0.500 0.500 0.695 1
Ru5 Ru 0.500 0.500 0.890 1
# * density of states at the Fermi level: 9.5 states/eV per cell
# * total energy: -10.012 eV per atom
# * space-group type: No. 123
# * formation energy: -0.521 eV/atom


Entry 2:
# PBE Pu2ZrRu, optimized geometry
data_Pu2ZrRu
_cell_length_a 3.196
_cell_length_b 3.196
_cell_length_c 10.457
_cell_angle_alpha 81.21
_cell_angle_beta 81.21
_cell_angle_gamma 60.00
_space_group_name_H-M_alt 'P 1'
_space_group_IT_number 1
loop_
_space_group_symop_operation_xyz
'x,y,z'
loop_
_atom_site_label
_atom_site_type_symbol
_atom_site_fract_x
_atom_site_fract_y
_atom_site_fract_z
_atom_site_occupancy
Ru1 Ru 0.500 0.500 0.500 1
Zr1 Zr 0.000 0.000 0.000 1
Pu1 Pu 0.097 0.097 0.708 1
Pu2 Pu 0.903 0.903 0.292 1
# * density of states at the Fermi level: 13.9 states/eV per cell
# * total energy: -11.309 eV per atom
# * space-group type: No. 166
# * relative energy among the computed polymorphs: 0.265 eV per atom
# * formation energy: 0.313 eV/atom


Entry 3:
# PBE PuZrRu, optimized geometry
data_PuZrRu
_cell_length_a 3.208
_cell_length_b 7.444
_cell_length_c 9.814
_cell_angle_alpha 90.00
_cell_angle_beta 90.00
_cell_angle_gamma 90.00
_space_group_name_H-M_alt 'P 1'
_space_group_IT_number 1
loop_
_space_group_symop_operation_xyz
'x,y,z'
loop_
_atom_site_label
_atom_site_type_symbol
_atom_site_fract_x
_atom_site_fract_y
_atom_site_fract_z
_atom_site_occupancy
Pu1 Pu 0.750 0.029 0.083 1
Pu2 Pu 0.250 0.529 0.417 1
Pu3 Pu 0.250 0.971 0.917 1
Pu4 Pu 0.750 0.471 0.583 1
Ru1 Ru 0.750 0.852 0.328 1
Ru2 Ru 0.250 0.352 0.172 1
Ru3 Ru 0.250 0.148 0.672 1
Ru4 Ru 0.750 0.648 0.828 1
Zr1 Zr 0.750 0.634 0.106 1
Zr2 Zr 0.250 0.134 0.394 1
Zr3 Zr 0.250 0.366 0.894 1
Zr4 Zr 0.750 0.866 0.606 1
# * density of states at the Fermi level: 19.5 states/eV per cell
# * total energy: -10.684 eV per atom
# * space-group type: No. 62
# * relative energy among the computed polymorphs: 0.163 eV per atom
# * formation energy: 0.034 eV/atom


Entry 4:
# PBE PuZr5Ru4, optimized geometry
data_PuZr5Ru4
_cell_length_a 3.266
_cell_length_b 3.266
_cell_length_c 17.619
_cell_angle_alpha 90.00
_cell_angle_beta 90.00
_cell_angle_gamma 90.00
_space_group_name_H-M_alt 'P 1'
_space_group_IT_number 1
loop_
_space_group_symop_operation_xyz
'x,y,z'
loop_
_atom_site_label
_atom_site_type_symbol
_atom_site_fract_x
_atom_site_fract_y
_atom_site_fract_z
_atom_site_occupancy
Pu1 Pu 0.000 0.000 0.000 1
Zr1 Zr 0.500 0.500 0.126 1
Zr2 Zr 0.500 0.500 0.313 1
Zr3 Zr 0.500 0.500 0.500 1
Zr4 Zr 0.500 0.500 0.687 1
Zr5 Zr 0.500 0.500 0.874 1
Ru1 Ru 0.000 0.000 0.220 1
Ru2 Ru 0.000 0.000 0.406 1
Ru3 Ru 0.000 0.000 0.594 1
Ru4 Ru 0.000 0.000 0.780 1
# * density of states at the Fermi level: 5.8 states/eV per cell
# * total energy: -9.899 eV per atom
# * space-group type: No. 123
# * formation energy: -0.481 eV/atom


Entry 5:
# PBE Pu2ZrRu, optimized geometry
data_Pu2ZrRu
_cell_length_a 3.386
_cell_length_b 3.386
_cell_length_c 7.645
_cell_angle_alpha 90.00
_cell_angle_beta 90.00
_cell_angle_gamma 90.00
_space_group_name_H-M_alt 'P 1'
_space_group_IT_number 1
loop_
_space_group_symop_operation_xyz
'x,y,z'
loop_
_atom_site_label
_atom_site_type_symbol
_atom_site_fract_x
_atom_site_fract_y
_atom_site_fract_z
_atom_site_occupancy
Ru1 Ru 0.500 0.500 0.000 1
Zr1 Zr 0.500 0.500 0.500 1
Pu1 Pu 0.000 0.000 0.784 1
Pu2 Pu 0.000 0.000 0.216 1
# * density of states at the Fermi level: 10.2 states/eV per cell
# * total energy: -11.574 eV per atom
# * space-group type: No. 123
# * relative energy among the computed polymorphs: 0.000 eV per atom
# * formation energy: 0.048 eV/atom


Entry 6:
# PBE PuZr2Ru, optimized geometry
data_PuZr2Ru
_cell_length_a 3.262
_cell_length_b 4.936
_cell_length_c 4.936
_cell_angle_alpha 90.00
_cell_angle_beta 90.00
_cell_angle_gamma 90.00
_space_group_name_H-M_alt 'P 1'
_space_group_IT_number 1
loop_
_space_group_symop_operation_xyz
'x,y,z'
loop_
_atom_site_label
_atom_site_type_symbol
_atom_site_fract_x
_atom_site_fract_y
_atom_site_fract_z
_atom_site_occupancy
Ru1 Ru 0.500 0.000 0.000 1
Zr1 Zr 0.000 0.000 0.500 1
Zr2 Zr 0.000 0.500 0.000 1
Pu1 Pu 0.500 0.500 0.500 1
# * density of states at the Fermi level: 7.9 states/eV per cell
# * total energy: -10.205 eV per atom
# * space-group type: No. 123
# * relative energy among the computed polymorphs: 0.190 eV per atom
# * formation energy: -0.029 eV/atom


Entry 7:
# PBE PuZrRu2, optimized geometry
data_PuZrRu2
_cell_length_a 3.286
_cell_length_b 3.286
_cell_length_c 6.845
_cell_angle_alpha 90.00
_cell_angle_beta 90.00
_cell_angle_gamma 90.00
_space_group_name_H-M_alt 'P 1'
_space_group_IT_number 1
loop_
_space_group_symop_operation_xyz
'x,y,z'
loop_
_atom_site_label
_atom_site_type_symbol
_atom_site_fract_x
_atom_site_fract_y
_atom_site_fract_z
_atom_site_occupancy
Ru1 Ru 0.000 0.000 0.763 1
Ru2 Ru 0.000 0.000 0.237 1
Zr1 Zr 0.500 0.500 0.000 1
Pu1 Pu 0.500 0.500 0.500 1
# * density of states at the Fermi level: 7.4 states/eV per cell
# * total energy: -10.694 eV per atom
# * space-group type: No. 123
# * formation energy: -0.336 eV/atom


Entry 8:
# PBE Pu4ZrRu5, optimized geometry
data_Pu4ZrRu5
_cell_length_a 3.319
_cell_length_b 3.319
_cell_length_c 17.221
_cell_angle_alpha 90.00
_cell_angle_beta 90.00
_cell_angle_gamma 90.00
_space_group_name_H-M_alt 'P 1'
_space_group_IT_number 1
loop_
_space_group_symop_operation_xyz
'x,y,z'
loop_
_atom_site_label
_atom_site_type_symbol
_atom_site_fract_x
_atom_site_fract_y
_atom_site_fract_z
_atom_site_occupancy
Pu1 Pu 0.000 0.000 0.197 1
Pu2 Pu 0.000 0.000 0.399 1
Pu3 Pu 0.000 0.000 0.601 1
Pu4 Pu 0.000 0.000 0.803 1
Zr1 Zr 0.000 0.000 0.000 1
Ru1 Ru 0.500 0.500 0.093 1
Ru2 Ru 0.500 0.500 0.296 1
Ru3 Ru 0.500 0.500 0.500 1
Ru4 Ru 0.500 0.500 0.704 1
Ru5 Ru 0.500 0.500 0.907 1
# * density of states at the Fermi level: 22.4 states/eV per cell
# * total energy: -11.448 eV per atom
# * space-group type: No. 123
# * formation energy: -0.223 eV/atom


Question: Look up the total energy of the second one.
Answer: -11.309 eV per atom


Question: Which of these has the lowest formation energy?
Answer: PuZr4Ru5